Below is a geometry-optimized CaMgV2O7 structure, with properties calculated at the PBE with a Hubbard U level.

Summary:
Total energy, eV/atom: -7.182
Volume, Å³/atom: 12.86
Magnetic moment, μB/cell: 0.00

Cell lengths 6.848, 11.410, 14.681 Å; angles 90.00, 90.00, 99.49 degrees
Fractional positions:
Ca  0.327  0.972  0.129
Ca  0.673  0.528  0.629
Ca  0.673  0.028  0.871
Ca  0.327  0.472  0.371
Ca  0.075  0.229  0.007
Ca  0.925  0.271  0.507
Ca  0.925  0.771  0.993
Ca  0.075  0.729  0.493
Mg  0.004  0.747  0.254
Mg  0.996  0.753  0.754
Mg  0.996  0.253  0.746
Mg  0.004  0.247  0.246
Mg  0.639  0.574  0.174
Mg  0.361  0.926  0.674
Mg  0.361  0.426  0.826
Mg  0.639  0.074  0.326
V  0.510  0.294  0.205
V  0.490  0.206  0.705
V  0.490  0.706  0.795
V  0.510  0.794  0.295
V  0.583  0.312  0.013
V  0.417  0.188  0.513
V  0.417  0.688  0.987
V  0.583  0.812  0.487
V  0.867  0.484  0.864
V  0.133  0.016  0.364
V  0.133  0.516  0.136
V  0.867  0.984  0.636
V  0.841  0.481  0.371
V  0.159  0.019  0.871
V  0.159  0.519  0.629
V  0.841  0.981  0.129
O  0.760  0.961  0.019
O  0.240  0.539  0.519
O  0.240  0.039  0.981
O  0.760  0.461  0.481
O  0.991  0.872  0.145
O  0.009  0.628  0.645
O  0.009  0.128  0.855
O  0.991  0.372  0.355
O  0.994  0.118  0.140
O  0.006  0.382  0.640
O  0.006  0.882  0.860
O  0.994  0.618  0.360
O  0.677  0.956  0.714
O  0.323  0.544  0.214
O  0.323  0.044  0.286
O  0.677  0.456  0.786
O  0.958  0.135  0.633
O  0.042  0.365  0.133
O  0.042  0.865  0.367
O  0.958  0.635  0.867
O  0.049  0.895  0.660
O  0.386  0.821  0.556
O  0.951  0.605  0.160
O  0.049  0.395  0.840
O  0.718  0.708  0.521
O  0.282  0.792  0.021
O  0.282  0.292  0.479
O  0.718  0.208  0.979
O  0.762  0.944  0.528
O  0.238  0.556  0.028
O  0.238  0.056  0.472
O  0.762  0.444  0.972
O  0.431  0.205  0.107
O  0.569  0.295  0.607
O  0.569  0.795  0.893
O  0.431  0.705  0.393
O  0.694  0.225  0.251
O  0.306  0.275  0.751
O  0.306  0.775  0.749
O  0.694  0.725  0.249
O  0.638  0.464  0.296
O  0.362  0.036  0.796
O  0.362  0.536  0.704
O  0.638  0.964  0.204
O  0.306  0.295  0.271
O  0.694  0.205  0.771
O  0.694  0.705  0.729
O  0.306  0.795  0.229
O  0.598  0.409  0.122
O  0.402  0.091  0.622
O  0.402  0.591  0.878
O  0.598  0.909  0.378
O  0.386  0.321  0.944
O  0.614  0.179  0.444
O  0.614  0.679  0.056
O  0.951  0.105  0.340